Computed, not measured: LiCr2Ir after structural relaxation at the PBE-GGA level of DFT.

Cell and atoms, written as POSCAR:
```
LiCr2Ir
1.0
-2.411 0.136 0.968
-0.779 -1.824 -1.684
1.795 -5.627 5.264
Cr Ir Li
2 1 1
Direct
0.000 0.000 0.024 Cr
0.500 0.500 0.257 Cr
0.000 0.000 0.481 Ir
0.500 0.500 0.738 Li
```

Summary:
Space-group type = No. 99
DFT total energy = -7.27 eV per atom
Energy of formation from the pure elements = 0.95 eV/f.u.